(1)
# Tm2Al2Ga4Cu (PBE, optimized geometry)
# Total magnetic moment = 0.00 μB/cell
# SG = No. 139
# VASP energy = -36.062 eV per formula unit
data_Tm2Al2Ga4Cu
_chemical_formula_sum 'Tm2 Al2 Ga4 Cu1'
_symmetry_space_group_name_H-M 'P 1'
_symmetry_Int_Tables_number 1
_cell_length_a 6.159
_cell_length_b 6.159
_cell_length_c 6.159
_cell_angle_alpha 91.09
_cell_angle_beta 119.37
_cell_angle_gamma 119.37
loop_
_symmetry_equiv_pos_as_xyz
'x,y,z'
loop_
_atom_site_label
_atom_site_type_symbol
_atom_site_fract_x
_atom_site_fract_y
_atom_site_fract_z
Tm1 Tm 0.500 0.750 0.250
Tm2 Tm 0.500 0.250 0.750
Al1 Al 0.000 0.718 0.718
Al2 Al 0.000 0.282 0.282
Ga1 Ga 0.000 0.721 0.279
Ga2 Ga 0.443 0.721 0.721
Ga3 Ga 0.000 0.279 0.721
Ga4 Ga 0.557 0.279 0.279
Cu1 Cu 0.000 0.000 0.000

---

(2)
# Pr2SmPb9 (PBE, optimized geometry)
# Total magnetic moment = 0.00 μB/cell
# SG = No. 123
# VASP energy = -52.125 eV per formula unit
data_Pr2SmPb9
_chemical_formula_sum 'Pr2 Sm1 Pb9'
_symmetry_space_group_name_H-M 'P 1'
_symmetry_Int_Tables_number 1
_cell_length_a 4.935
_cell_length_b 4.935
_cell_length_c 14.794
_cell_angle_alpha 90.00
_cell_angle_beta 90.00
_cell_angle_gamma 90.00
loop_
_symmetry_equiv_pos_as_xyz
'x,y,z'
loop_
_atom_site_label
_atom_site_type_symbol
_atom_site_fract_x
_atom_site_fract_y
_atom_site_fract_z
Pr1 Pr 0.000 0.000 0.332
Pr2 Pr 0.000 0.000 0.668
Sm1 Sm 0.000 0.000 0.000
Pb1 Pb 0.500 0.500 0.000
Pb2 Pb 0.500 0.500 0.332
Pb3 Pb 0.500 0.500 0.668
Pb4 Pb 0.500 0.000 0.164
Pb5 Pb 0.500 0.000 0.500
Pb6 Pb 0.500 0.000 0.836
Pb7 Pb 0.000 0.500 0.164
Pb8 Pb 0.000 0.500 0.500
Pb9 Pb 0.000 0.500 0.836

---

(3)
# SrTe2 (PBE, optimized geometry)
# Total magnetic moment = 0.00 μB/cell
# SG = No. 194
# VASP energy = -10.584 eV per formula unit
# Formation energy (no corrections) = -0.873 eV per atom
data_SrTe2
_chemical_formula_sum 'Sr2 Te4'
_symmetry_space_group_name_H-M 'P 1'
_symmetry_Int_Tables_number 1
_cell_length_a 5.898
_cell_length_b 5.898
_cell_length_c 6.564
_cell_angle_alpha 90.00
_cell_angle_beta 90.00
_cell_angle_gamma 120.00
loop_
_symmetry_equiv_pos_as_xyz
'x,y,z'
loop_
_atom_site_label
_atom_site_type_symbol
_atom_site_fract_x
_atom_site_fract_y
_atom_site_fract_z
Sr1 Sr 0.333 0.667 0.250
Sr2 Sr 0.667 0.333 0.750
Te1 Te 0.000 0.000 0.000
Te2 Te 0.000 0.000 0.500
Te3 Te 0.333 0.667 0.750
Te4 Te 0.667 0.333 0.250

---

(4)
# Na2SeS6 (PBE, optimized geometry)
# Total magnetic moment = 0.00 μB/cell
# SG = No. 2
# VASP energy = -33.352 eV per formula unit
# Formation energy (no corrections) = -0.274 eV per atom
data_Na2SeS6
_chemical_formula_sum 'Na2 Se1 S6'
_symmetry_space_group_name_H-M 'P 1'
_symmetry_Int_Tables_number 1
_cell_length_a 4.479
_cell_length_b 8.271
_cell_length_c 7.266
_cell_angle_alpha 110.84
_cell_angle_beta 102.84
_cell_angle_gamma 102.09
loop_
_symmetry_equiv_pos_as_xyz
'x,y,z'
loop_
_atom_site_label
_atom_site_type_symbol
_atom_site_fract_x
_atom_site_fract_y
_atom_site_fract_z
Na1 Na 0.443 0.774 0.071
Na2 Na 0.557 0.226 0.929
Se1 Se 0.000 0.000 0.000
S1 S 0.946 0.619 0.223
S2 S 0.054 0.381 0.777
S3 S 0.873 0.703 0.690
S4 S 0.888 0.204 0.477
S5 S 0.112 0.796 0.523
S6 S 0.127 0.297 0.310

---

(5)
# BaSc3Cu (PBE, optimized geometry)
# Total magnetic moment = 0.00 μB/cell
# SG = No. 221
# Offset from the most stable computed form = 6.49 eV per formula unit
# VASP energy = -17.700 eV per formula unit
data_BaSc3Cu
_chemical_formula_sum 'Ba1 Sc3 Cu1'
_symmetry_space_group_name_H-M 'P 1'
_symmetry_Int_Tables_number 1
_cell_length_a 5.270
_cell_length_b 5.270
_cell_length_c 5.270
_cell_angle_alpha 90.00
_cell_angle_beta 90.00
_cell_angle_gamma 90.00
loop_
_symmetry_equiv_pos_as_xyz
'x,y,z'
loop_
_atom_site_label
_atom_site_type_symbol
_atom_site_fract_x
_atom_site_fract_y
_atom_site_fract_z
Sc1 Sc 0.000 0.500 0.000
Sc2 Sc 0.000 0.000 0.500
Sc3 Sc 0.500 0.000 0.000
Ba1 Ba 0.000 0.000 0.000
Cu1 Cu 0.500 0.500 0.500

---

(6)
# K4SeF2 (PBE, optimized geometry)
# Total magnetic moment = 0.00 μB/cell
# SG = No. 70
# Offset from the most stable computed form = 0.00 eV per formula unit
# VASP energy = -25.328 eV per formula unit
# Formation energy (no corrections) = -1.959 eV per atom
data_K4SeF2
_chemical_formula_sum 'K8 Se2 F4'
_symmetry_space_group_name_H-M 'P 1'
_symmetry_Int_Tables_number 1
_cell_length_a 7.980
_cell_length_b 7.980
_cell_length_c 7.998
_cell_angle_alpha 108.64
_cell_angle_beta 108.64
_cell_angle_gamma 111.06
loop_
_symmetry_equiv_pos_as_xyz
'x,y,z'
loop_
_atom_site_label
_atom_site_type_symbol
_atom_site_fract_x
_atom_site_fract_y
_atom_site_fract_z
K1 K 0.916 0.239 0.325
K2 K 0.334 0.511 0.175
K3 K 0.914 0.591 0.675
K4 K 0.761 0.084 0.675
K5 K 0.409 0.086 0.325
K6 K 0.336 0.159 0.825
K7 K 0.489 0.666 0.825
K8 K 0.841 0.664 0.175
Se1 Se 0.250 0.750 0.500
Se2 Se 0.000 0.000 0.000
F1 F 0.625 0.375 0.750
F2 F 0.625 0.875 0.250
F3 F 0.625 0.375 0.250
F4 F 0.125 0.375 0.750

---

Q: Look up the total magnetic moment of the sixth one.
A: 0.00 μB/cell

---

Q: total magnetic moment of number 6 (K4SeF2)?
A: 0.00 μB/cell

---

Repeat the first record exactly.
# Tm2Al2Ga4Cu (PBE, optimized geometry)
# Total magnetic moment = 0.00 μB/cell
# SG = No. 139
# VASP energy = -36.062 eV per formula unit
data_Tm2Al2Ga4Cu
_chemical_formula_sum 'Tm2 Al2 Ga4 Cu1'
_symmetry_space_group_name_H-M 'P 1'
_symmetry_Int_Tables_number 1
_cell_length_a 6.159
_cell_length_b 6.159
_cell_length_c 6.159
_cell_angle_alpha 91.09
_cell_angle_beta 119.37
_cell_angle_gamma 119.37
loop_
_symmetry_equiv_pos_as_xyz
'x,y,z'
loop_
_atom_site_label
_atom_site_type_symbol
_atom_site_fract_x
_atom_site_fract_y
_atom_site_fract_z
Tm1 Tm 0.500 0.750 0.250
Tm2 Tm 0.500 0.250 0.750
Al1 Al 0.000 0.718 0.718
Al2 Al 0.000 0.282 0.282
Ga1 Ga 0.000 0.721 0.279
Ga2 Ga 0.443 0.721 0.721
Ga3 Ga 0.000 0.279 0.721
Ga4 Ga 0.557 0.279 0.279
Cu1 Cu 0.000 0.000 0.000